No. 1
VASP calculation (PBE) on a geometry-optimized Hf2FeNi2 structure.

Unit cell a=6.513 b=6.513 c=3.561 alpha=90.00 beta=90.00 gamma=90.00
Positions (direct):
Hf 0.180 0.320 0.000
Hf 0.320 0.820 0.000
Hf 0.680 0.180 0.000
Hf 0.820 0.680 0.000
Fe 0.000 0.000 0.500
Fe 0.500 0.500 0.500
Ni 0.126 0.626 0.500
Ni 0.374 0.126 0.500
Ni 0.626 0.874 0.500
Ni 0.874 0.374 0.500

Computed properties:
Theoretical density = 11.656 g cm⁻³
DFT formation energy = -0.218 eV per atom

No. 2
VASP calculation (PBE) on a geometry-optimized ZrW structure.

Unit cell a=3.924 b=3.924 c=3.924 alpha=60.00 beta=60.00 gamma=60.00
Positions (direct):
Zr 0.000 0.000 0.000
W 0.500 0.500 0.500

Computed properties:
Theoretical density = 10.687 g cm⁻³
DFT formation energy = 1.261 eV per atom

No. 3
VASP calculation (PBE) on a geometry-optimized Pu2AlFe9 structure.

Unit cell a=8.876 b=8.876 c=8.876 alpha=30.86 beta=30.86 gamma=30.86
Positions (direct):
Pu 0.140 0.140 0.140
Pu 0.860 0.860 0.860
Al 0.000 0.000 0.000
Fe 0.081 0.578 0.578
Fe 0.332 0.332 0.332
Fe 0.422 0.422 0.919
Fe 0.422 0.919 0.422
Fe 0.500 0.500 0.500
Fe 0.578 0.081 0.578
Fe 0.578 0.578 0.081
Fe 0.668 0.668 0.668
Fe 0.919 0.422 0.422

Computed properties:
Theoretical density = 10.356 g cm⁻³
DFT formation energy = 0.049 eV per atom

No. 4
VASP calculation (PBE) on a geometry-optimized La2CrMo structure.

Unit cell a=6.178 b=6.178 c=6.178 alpha=147.02 beta=130.37 gamma=60.89
Positions (direct):
La 0.000 0.000 0.000
La 0.725 0.225 0.500
Cr 0.288 0.788 0.500
Mo 0.434 0.434 0.000

Computed properties:
Excess energy over the best structure of this formula in the dataset = 59 meV per atom
Theoretical density = 7.298 g cm⁻³
DFT formation energy = 0.415 eV per atom

Copy entry 4 word for word.
VASP calculation (PBE) on a geometry-optimized La2CrMo structure.

Unit cell a=6.178 b=6.178 c=6.178 alpha=147.02 beta=130.37 gamma=60.89
Positions (direct):
La 0.000 0.000 0.000
La 0.725 0.225 0.500
Cr 0.288 0.788 0.500
Mo 0.434 0.434 0.000

Computed properties:
Excess energy over the best structure of this formula in the dataset = 59 meV per atom
Theoretical density = 7.298 g cm⁻³
DFT formation energy = 0.415 eV per atom

Q: Number 4 is which compound?
A: La2CrMo